A plane-wave DFT calculation with PBE was carried out for a geometry-optimized Cs3PrAg2F9 structure.

Cell lengths 6.580, 6.580, 8.228 Å; angles 90.00, 90.00, 120.00 degrees
Each line ends with the local moment (μB).
Fractional positions:
Cs1 0.667 0.333 0.299  0.00
F1 0.837 0.163 0.665  0.02
Cs2 0.333 0.667 0.701  0.00
F2 0.673 0.837 0.335  0.02
F3 0.837 0.673 0.665  0.02
Pr1 0.000 0.000 0.500  0.01
F4 0.163 0.837 0.335  0.02
Ag1 0.333 0.667 0.159  0.33
F5 0.500 0.000 0.000  0.10
Ag2 0.667 0.333 0.841  0.33
F6 0.163 0.327 0.335  0.02
F7 0.000 0.500 0.000  0.10
F8 0.327 0.163 0.665  0.02
Cs3 0.000 0.000 0.000  0.00
F9 0.500 0.500 0.000  0.10

Values from the calculation:
- Space-group type: No. 164
- Formation energy without anion corrections: -2.56 eV per atom
- Density of states at the Fermi level: 3.2 states/eV/f.u.

---

A plane-wave DFT calculation with PBE was carried out for a geometry-optimized CsAgPtF6 structure.

Cell lengths 6.181, 6.182, 5.962 Å; angles 90.09, 89.90, 59.67 degrees
Fractional positions:
F1 0.065 0.339 0.316
Ag1 0.665 0.666 0.499
F2 0.593 0.346 0.685
F3 0.058 0.600 0.680
F4 0.600 0.058 0.320
F5 0.341 0.065 0.686
Cs1 0.999 0.000 0.999
Pt1 0.334 0.333 0.500
F6 0.344 0.593 0.314

Values from the calculation:
- Space-group type: No. 1
- Formation energy without anion corrections: -1.73 eV per atom
- Density of states at the Fermi level: 0.0 states/eV/f.u.

---

A plane-wave DFT calculation with PBE was carried out for a geometry-optimized CsPuAg2F8 structure.

Cell lengths 5.682, 5.682, 9.197 Å; angles 90.00, 90.00, 120.00 degrees
Each line ends with the local moment (μB).
Fractional positions:
F1 0.170 0.339 0.135  -0.04
F2 0.339 0.170 0.865  -0.04
Ag1 0.333 0.667 0.808  -0.11
F3 0.333 0.667 0.582  -0.09
F4 0.170 0.830 0.135  -0.04
F5 0.830 0.170 0.865  -0.04
Pu1 0.000 0.000 0.000  3.50
F6 0.661 0.830 0.135  -0.04
Cs1 0.000 0.000 0.500  0.00
F7 0.830 0.661 0.865  -0.04
Ag2 0.667 0.333 0.192  -0.11
F8 0.667 0.333 0.418  -0.09

Values from the calculation:
- Space-group type: No. 164
- Formation energy without anion corrections: -2.24 eV per atom
- Density of states at the Fermi level: 16.9 states/eV/f.u.

---

A plane-wave DFT calculation with PBE was carried out for a geometry-optimized Cs3PuAg2F9 structure.

Cell lengths 6.641, 6.641, 8.459 Å; angles 90.00, 90.00, 120.00 degrees
Each line ends with the local moment (μB).
Fractional positions:
F1 0.847 0.153 0.651  -0.03
Cs1 0.667 0.333 0.268  0.00
F2 0.500 0.000 0.000  -0.01
Cs2 0.000 0.000 0.000  0.00
F3 0.000 0.500 0.000  -0.01
F4 0.500 0.500 0.000  -0.01
F5 0.153 0.305 0.349  -0.03
F6 0.695 0.847 0.349  -0.03
Cs3 0.333 0.667 0.732  0.00
Ag1 0.333 0.667 0.165  -0.05
Ag2 0.667 0.333 0.835  -0.05
Pu1 0.000 0.000 0.500  4.20
F7 0.847 0.695 0.651  -0.03
F8 0.305 0.153 0.651  -0.03
F9 0.153 0.847 0.349  -0.03

Values from the calculation:
- Space-group type: No. 164
- Formation energy without anion corrections: -2.55 eV per atom
- Density of states at the Fermi level: 0.1 states/eV/f.u.

---

A plane-wave DFT calculation with PBE was carried out for a geometry-optimized Cs2PuAgF8 structure.

Cell lengths 6.445, 6.445, 7.384 Å; angles 115.87, 115.87, 90.00 degrees
Each line ends with the local moment (μB).
Fractional positions:
Pu1 0.250 0.750 0.500  -3.28
F1 0.550 0.065 0.719  0.03
F2 0.346 0.830 0.281  0.03
F3 0.935 0.830 0.281  0.03
Ag1 0.500 0.500 0.000  0.01
F4 0.550 0.654 0.719  0.03
Cs1 0.750 0.250 0.500  0.00
Cs2 0.000 0.000 0.000  0.00
F5 0.346 0.450 0.281  0.03
F6 0.170 0.654 0.719  0.03
F7 0.170 0.065 0.719  0.03
F8 0.935 0.450 0.281  0.03

Values from the calculation:
- Space-group type: No. 119
- Formation energy without anion corrections: -2.67 eV per atom
- Density of states at the Fermi level: 3.5 states/eV/f.u.

---

A plane-wave DFT calculation with PBE was carried out for a geometry-optimized CsRbAgF6 structure.

Cell lengths 6.315, 6.315, 5.092 Å; angles 90.45, 90.45, 58.12 degrees
Each line ends with the local moment (μB).
Fractional positions:
Cs1 0.005 0.005 0.852  0.01
F1 0.029 0.495 0.769  0.03
F2 0.172 0.635 0.333  0.03
F3 0.635 0.172 0.333  0.03
Ag1 0.334 0.334 0.553  0.35
F4 0.505 0.505 0.763  0.24
F5 0.164 0.164 0.338  0.24
Rb1 0.660 0.660 0.288  0.00
F6 0.495 0.030 0.770  0.03

Values from the calculation:
- Space-group type: No. 8
- Formation energy without anion corrections: -1.82 eV per atom
- Density of states at the Fermi level: 0.5 states/eV/f.u.

---

A plane-wave DFT calculation with PBE was carried out for a geometry-optimized Cs3RbAg2F9 structure.

Cell lengths 6.542, 6.542, 8.240 Å; angles 90.00, 90.00, 120.00 degrees
Fractional positions:
F1 0.000 0.500 0.000
Ag1 0.333 0.667 0.143
F2 0.820 0.180 0.705
Cs1 0.333 0.667 0.667
F3 0.360 0.180 0.705
Ag2 0.667 0.333 0.857
F4 0.500 0.500 0.000
Cs2 0.667 0.333 0.333
F5 0.820 0.640 0.705
F6 0.180 0.820 0.295
Rb1 0.000 0.000 0.500
Cs3 0.000 0.000 0.000
F7 0.640 0.820 0.295
F8 0.180 0.360 0.295
F9 0.500 0.000 0.000

Values from the calculation:
- Space-group type: No. 164
- Formation energy without anion corrections: -2.03 eV per atom
- Density of states at the Fermi level: 4.0 states/eV/f.u.

---

A plane-wave DFT calculation with PBE was carried out for a geometry-optimized CsRbAgF3 structure.

Cell lengths 7.187, 7.187, 7.731 Å; angles 90.00, 90.00, 120.00 degrees
Fractional positions:
Cs1 0.667 0.333 0.250
Ag1 0.667 0.333 0.750
Rb1 0.000 0.000 0.000
Rb2 0.000 0.000 0.500
F1 0.842 0.158 0.750
F2 0.315 0.158 0.750
F3 0.842 0.685 0.750
F4 0.158 0.842 0.250
F5 0.685 0.842 0.250
Ag2 0.333 0.667 0.250
Cs2 0.333 0.667 0.750
F6 0.158 0.315 0.250

Values from the calculation:
- Space-group type: No. 194
- Formation energy without anion corrections: -2.01 eV per atom
- Density of states at the Fermi level: 0.0 states/eV/f.u.

---

A plane-wave DFT calculation with PBE was carried out for a geometry-optimized Cs2RbAg2F7 structure.

Cell lengths 4.511, 4.511, 12.138 Å; angles 79.28, 79.28, 90.00 degrees
Fractional positions:
F1 0.910 0.410 0.180
Ag1 0.593 0.593 0.814
F2 0.688 0.688 0.625
F3 0.590 0.090 0.820
Cs1 0.183 0.183 0.635
Rb1 0.000 0.000 0.000
F4 0.410 0.910 0.180
F5 0.500 0.500 0.000
Cs2 0.817 0.817 0.365
Ag2 0.407 0.407 0.186
F6 0.312 0.312 0.375
F7 0.090 0.590 0.820

Values from the calculation:
- Space-group type: No. 139
- Formation energy without anion corrections: -2.01 eV per atom
- Density of states at the Fermi level: 3.6 states/eV/f.u.

---

A plane-wave DFT calculation with PBE was carried out for a geometry-optimized Cs2RbAgF6 structure.

Cell lengths 6.777, 6.777, 6.777 Å; angles 60.00, 60.00, 90.00 degrees
Each line ends with the local moment (μB).
Fractional positions:
Ag1 0.000 0.000 0.000  0.88
F1 0.778 0.778 0.443  0.17
F2 0.222 0.222 0.557  0.17
F3 0.222 0.778 0.000  0.17
Rb1 0.500 0.500 0.000  0.02
Cs1 0.250 0.750 0.500  0.00
Cs2 0.750 0.250 0.500  0.00
F4 0.778 0.778 0.000  0.17
F5 0.222 0.222 0.000  0.17
F6 0.778 0.222 0.000  0.17

Values from the calculation:
- Space-group type: No. 225
- Formation energy without anion corrections: -2.13 eV per atom
- Density of states at the Fermi level: 0.0 states/eV/f.u.

---

A plane-wave DFT calculation with PBE was carried out for a geometry-optimized Cs3RbAg2F6 structure.

Cell lengths 7.193, 7.193, 7.527 Å; angles 90.00, 90.00, 120.00 degrees
Fractional positions:
F1 0.344 0.172 0.719
F2 0.172 0.344 0.281
Cs1 0.333 0.667 0.612
F3 0.172 0.828 0.281
Cs2 0.000 0.000 0.000
Ag1 0.333 0.667 0.149
F4 0.828 0.656 0.719
Rb1 0.000 0.000 0.500
F5 0.828 0.172 0.719
Cs3 0.667 0.333 0.388
F6 0.656 0.828 0.281
Ag2 0.667 0.333 0.851

Values from the calculation:
- Space-group type: No. 164
- Formation energy without anion corrections: -2.00 eV per atom
- Density of states at the Fermi level: 0.0 states/eV/f.u.

---

A plane-wave DFT calculation with PBE was carried out for a geometry-optimized CsRb2AgF6 structure.

Cell lengths 6.871, 6.871, 6.872 Å; angles 60.00, 60.00, 90.00 degrees
Each line ends with the local moment (μB).
Fractional positions:
F1 0.718 0.718 0.564  0.17
Rb1 0.750 0.250 0.500  0.00
F2 0.282 0.282 0.000  0.17
Rb2 0.250 0.750 0.500  0.00
F3 0.282 0.718 0.000  0.17
F4 0.282 0.282 0.436  0.17
F5 0.718 0.282 0.000  0.17
Cs1 0.000 0.000 0.000  0.05
Ag1 0.500 0.500 0.000  0.88
F6 0.718 0.718 0.000  0.17

Values from the calculation:
- Space-group type: No. 225
- Formation energy without anion corrections: -2.06 eV per atom
- Offset from the most stable computed form: 51.4 meV/atom

---

A plane-wave DFT calculation with PBE was carried out for a geometry-optimized Cs4RbAg3F12 structure.

Cell lengths 8.041, 8.041, 8.041 Å; angles 109.47, 109.47, 109.47 degrees
Fractional positions:
Ag1 0.500 0.500 0.000
Ag2 0.000 0.500 0.500
Cs1 0.500 0.500 0.500
F1 0.280 0.280 0.000
F2 0.250 0.750 0.500
Ag3 0.500 0.000 0.500
Cs2 0.000 0.000 0.500
F3 0.500 0.750 0.250
F4 0.250 0.500 0.750
F5 0.750 0.500 0.250
F6 0.720 0.720 0.000
Rb1 0.000 0.000 0.000
F7 0.500 0.250 0.750
F8 0.000 0.720 0.720
F9 0.280 0.000 0.280
F10 0.750 0.250 0.500
Cs3 0.000 0.500 0.000
F11 0.000 0.280 0.280
F12 0.720 0.000 0.720
Cs4 0.500 0.000 0.000

Values from the calculation:
- Space-group type: No. 229
- Formation energy without anion corrections: -2.00 eV per atom
- Density of states at the Fermi level: 6.4 states/eV/f.u.

---

A plane-wave DFT calculation with PBE was carried out for a geometry-optimized CsRb2AgF6 structure.

Cell lengths 6.604, 7.024, 9.439 Å; angles 90.00, 89.34, 90.00 degrees
Each line ends with the local moment (μB).
Fractional positions:
F1 0.264 0.664 0.037  0.16
F2 0.845 0.745 0.917  0.18
Ag1 0.500 0.000 0.500  0.88
Ag2 0.000 0.500 0.000  0.88
Rb1 0.985 0.047 0.740  0.00
F3 0.655 0.245 0.583  0.18
F4 0.612 0.074 0.294  0.17
F5 0.345 0.755 0.417  0.18
F6 0.155 0.255 0.083  0.18
F7 0.388 0.926 0.706  0.17
F8 0.236 0.164 0.463  0.16
Cs1 0.500 0.000 0.000  0.02
Rb2 0.485 0.453 0.240  0.00
F9 0.764 0.836 0.537  0.16
F10 0.112 0.426 0.794  0.17
Rb3 0.515 0.547 0.760  0.00
F11 0.888 0.574 0.206  0.17
F12 0.736 0.336 0.963  0.16
Cs2 0.000 0.500 0.500  0.02
Rb4 0.015 0.953 0.260  0.00

Values from the calculation:
- Space-group type: No. 14
- Formation energy without anion corrections: -2.11 eV per atom
- Offset from the most stable computed form: 0.0 meV/atom

---

A plane-wave DFT calculation with PBE was carried out for a geometry-optimized CsAg2RhF8 structure.

Cell lengths 5.613, 5.613, 8.538 Å; angles 70.81, 70.81, 60.00 degrees
Each line ends with the local moment (μB).
Fractional positions:
F1 0.297 0.297 0.110  0.18
F2 0.713 0.209 0.366  0.07
F3 0.287 0.287 0.634  0.07
Ag1 0.790 0.790 0.630  0.29
F4 0.791 0.287 0.634  0.07
F5 0.209 0.713 0.366  0.07
Cs1 0.000 0.000 0.000  0.00
Rh1 0.500 0.500 0.500  0.62
Ag2 0.210 0.210 0.370  0.29
F6 0.713 0.713 0.366  0.07
F7 0.703 0.703 0.890  0.18
F8 0.287 0.791 0.634  0.07

Values from the calculation:
- Space-group type: No. 166
- Formation energy without anion corrections: -1.51 eV per atom
- Density of states at the Fermi level: 9.9 states/eV/f.u.

---

A plane-wave DFT calculation with PBE was carried out for a geometry-optimized Cs2AgRuF6 structure.

Cell lengths 6.399, 6.399, 6.397 Å; angles 59.99, 59.99, 90.00 degrees
Each line ends with the local moment (μB).
Fractional positions:
F1 0.726 0.726 0.548  0.02
Cs1 0.750 0.250 0.500  0.00
F2 0.274 0.274 0.452  0.02
F3 0.274 0.726 0.000  0.02
Cs2 0.250 0.750 0.500  0.00
F4 0.726 0.726 0.000  0.02
Ag1 0.000 0.000 0.000  -0.01
Ru1 0.500 0.500 0.000  0.83
F5 0.726 0.274 0.000  0.02
F6 0.274 0.274 0.000  0.02

Values from the calculation:
- Space-group type: No. 225
- Formation energy without anion corrections: -2.00 eV per atom
- Density of states at the Fermi level: 49.4 states/eV/f.u.

---

A plane-wave DFT calculation with PBE was carried out for a geometry-optimized CsAgRuF6 structure.

Cell lengths 6.162, 6.162, 5.944 Å; angles 90.09, 89.91, 59.68 degrees
Each line ends with the local moment (μB).
Fractional positions:
F1 0.344 0.065 0.685  0.06
Ru1 0.333 0.333 0.500  1.52
F2 0.590 0.346 0.685  0.06
Cs1 0.000 0.000 0.000  0.00
F3 0.594 0.061 0.318  0.06
F4 0.065 0.345 0.315  0.06
F5 0.346 0.590 0.315  0.06
Ag1 0.666 0.666 0.500  0.03
F6 0.061 0.594 0.682  0.06

Values from the calculation:
- Space-group type: No. 5
- Formation energy without anion corrections: -1.89 eV per atom
- Density of states at the Fermi level: 8.7 states/eV/f.u.

---

A plane-wave DFT calculation with PBE was carried out for a geometry-optimized Cs2AgSF6 structure.

Cell lengths 6.395, 6.395, 6.736 Å; angles 61.66, 61.66, 90.00 degrees
Each line ends with the local moment (μB).
Fractional positions:
F1 0.785 0.785 0.430  0.04
F2 0.215 0.215 0.570  0.04
F3 0.704 0.296 0.000  0.04
Ag1 0.000 0.000 0.000  0.06
Cs1 0.250 0.750 0.500  0.00
Cs2 0.750 0.250 0.500  0.00
F4 0.704 0.704 0.000  0.04
S1 0.500 0.500 0.000  0.44
F5 0.296 0.704 0.000  0.04
F6 0.296 0.296 0.000  0.04

Values from the calculation:
- Space-group type: No. 139
- Formation energy without anion corrections: -1.84 eV per atom
- Density of states at the Fermi level: 0.0 states/eV/f.u.

---

A plane-wave DFT calculation with PBE was carried out for a geometry-optimized Cs2AgSbF6 structure.

Cell lengths 6.653, 6.653, 6.659 Å; angles 60.03, 60.03, 90.00 degrees
Fractional positions:
Cs1 0.250 0.750 0.500
Cs2 0.750 0.250 0.500
Ag1 0.500 0.500 0.000
F1 0.235 0.235 0.000
F2 0.234 0.234 0.531
F3 0.235 0.765 0.000
F4 0.765 0.235 0.000
F5 0.766 0.766 0.469
Sb1 0.000 0.000 0.000
F6 0.765 0.765 0.000

Values from the calculation:
- Space-group type: No. 139
- Formation energy without anion corrections: -2.29 eV per atom
- Density of states at the Fermi level: 0.0 states/eV/f.u.

---

A plane-wave DFT calculation with PBE was carried out for a geometry-optimized CsAgSbF6 structure.

Cell lengths 6.296, 6.296, 6.027 Å; angles 90.15, 89.85, 59.52 degrees
Each line ends with the local moment (μB).
Fractional positions:
F1 0.354 0.591 0.306  0.07
F2 0.050 0.597 0.691  0.07
Ag1 0.665 0.665 0.500  0.01
F3 0.597 0.050 0.309  0.07
Sb1 0.334 0.334 0.500  0.22
F4 0.056 0.352 0.307  0.07
F5 0.591 0.354 0.693  0.07
F6 0.352 0.056 0.693  0.07
Cs1 0.000 0.000 0.000  0.01

Values from the calculation:
- Space-group type: No. 5
- Formation energy without anion corrections: -2.16 eV per atom
- Density of states at the Fermi level: 3.4 states/eV/f.u.